10
Lattice="5.0599 -0.9960 -0.7747 -1.1826 5.0196 -0.7747 -0.3504 -0.3636 9.0289" Properties=species:S:1:pos:R:3 comment="GGA-PBE PmTh2Pd7, relaxed" delta_e_f_ev_per_atom=-0.680 dft_energy_ev_per_atom=-6.274 total_magnetization_mub_per_fu=0.00 pbc="T T T"
Th 1.0525 1.0922 5.4699
Th 2.4744 2.5678 2.0095
Pd -0.3225 2.7888 1.0098
Pd 0.2028 3.3339 3.7397
Pd 1.9386 2.0118 -0.7747
Pd 0.7281 3.8790 6.4697
Pd 3.3241 0.3261 3.7397
Pd 3.8494 0.8712 6.4697
Pd 2.7988 -0.2190 1.0098
Pm 0.0000 0.0000 0.0000